[1]
This record from OQMD describes a geometry-optimized AcScIr structure. The functional is GGA-PBE.

Cell and atoms, written as POSCAR:
```
AcScIr
1.0
0.0000 3.3408 3.3408
3.3408 0.0000 3.3408
3.3408 3.3408 0.0000
Ac Sc Ir
1 1 1
Cartesian
0.0000 0.0000 0.0000 Ac
1.6704 1.6704 1.6704 Sc
3.3408 3.3408 3.3408 Ir
```

SG	No. 216
energy	-19.044	eV per cell
ΔE_f	0.082	eV/atom

---

[2]
This record from OQMD describes a geometry-optimized Ac2Si3Ir structure. The functional is GGA-PBE.

Cell and atoms, written as POSCAR:
```
Ac2Si3Ir
1.0
4.2293 0.0000 0.0000
0.0000 4.5823 0.0000
0.0000 0.0000 7.3167
Ac Si Ir
2 3 1
Cartesian
0.0000 0.0000 0.0000 Ac
2.1147 0.0000 3.5891 Ac
0.0000 2.2912 2.3713 Si
0.0000 2.2912 4.8145 Si
2.1147 2.2912 6.1096 Si
2.1147 2.2912 1.2044 Ir
```

SG	No. 25
energy	-37.912	eV per cell

---

The highest energy belongs to which entry? AcScIr

---

Which value of energy does entry 1 give? -19.044 eV per cell

---

What is the energy in the second record? -37.912 eV per cell